Model 1:
Below is SrTa after structural relaxation, with properties calculated at the PBE level.

a = 4.399 Å, b = 5.841 Å, c = 16.003 Å
α = 90.00°, β = 90.00°, γ = 90.00°
Fractional positions:
Sr (0.000, 0.000, 0.682)
Sr (0.500, 0.500, 0.818)
Sr (0.000, 0.000, 0.318)
Sr (0.500, 0.000, 0.500)
Sr (0.000, 0.500, 0.000)
Sr (0.500, 0.500, 0.182)
Ta (0.500, 0.000, 0.000)
Ta (0.500, 0.500, 0.588)
Ta (0.500, 0.500, 0.412)
Ta (0.000, 0.000, 0.088)
Ta (0.000, 0.500, 0.500)
Ta (0.000, 0.000, 0.912)

Properties
As for the theoretical density: 6.51 g/cm3. The magnetic moment is 0.0 μB per formula unit.

Model 2:
Below is SrTa after structural relaxation, with properties calculated at the PBE level.

a = 5.781 Å, b = 5.781 Å, c = 6.717 Å
α = 90.00°, β = 90.00°, γ = 120.00°
Site moments in Bohr magnetons follow the coordinates.
Fractional positions:
Ta (0.333, 0.667, 0.750)  2.28
Ta (0.667, 0.333, 0.250)  2.28
Sr (0.667, 0.333, 0.750)  0.23
Sr (0.333, 0.667, 0.250)  0.23

Properties
As for the theoretical density: 4.59 g/cm3. The magnetic moment is 4.6 μB per formula unit.

model 1 has the most favorable energy; the next structure is 176.9 kJ/mol of atoms above.

Model 1:
Below is SrTa after structural relaxation, with properties calculated at the PBE level.

a = 3.206 Å, b = 3.206 Å, c = 11.556 Å
α = 90.00°, β = 90.00°, γ = 120.00°
Fractional positions:
Ta (0.667, 0.333, 0.750)
Ta (0.333, 0.667, 0.250)
Sr (0.000, 0.000, 0.000)
Sr (0.000, 0.000, 0.500)

Properties
As for the theoretical density: 8.67 g/cm3. The magnetic moment is 0.0 μB per formula unit.

Model 2:
Below is SrTa after structural relaxation, with properties calculated at the PBE level.

a = 5.426 Å, b = 5.426 Å, c = 5.426 Å
α = 60.00°, β = 60.00°, γ = 60.00°
Site moments in Bohr magnetons follow the coordinates.
Fractional positions:
Ta (0.750, 0.750, 0.750)  2.48
Sr (0.000, 0.000, 0.000)  0.26

Properties
As for the theoretical density: 3.95 g/cm3. The magnetic moment is 5.0 μB per formula unit.

model 1 has the most favorable energy; the next structure is 176.1 kJ/mol of atoms above.

Model 1:
Below is SrTa after structural relaxation, with properties calculated at the PBE level.

a = 4.855 Å, b = 4.855 Å, c = 8.686 Å
α = 87.31°, β = 87.31°, γ = 40.14°
Fractional positions:
Sr (0.238, 0.238, 0.323)
Sr (0.012, 0.012, 0.927)
Ta (0.760, 0.760, 0.660)
Ta (0.490, 0.490, 0.590)

Properties
As for the theoretical density: 6.77 g/cm3. The magnetic moment is 0.0 μB per formula unit.

Model 2:
Below is SrTa after structural relaxation, with properties calculated at the PBE level.

a = 6.541 Å, b = 6.541 Å, c = 6.621 Å
α = 90.00°, β = 90.00°, γ = 90.00°
Fractional positions:
Ta (0.625, 0.625, 0.000)
Ta (0.375, 0.375, 0.000)
Ta (0.125, 0.875, 0.500)
Ta (0.875, 0.125, 0.500)
Sr (0.672, 0.672, 0.500)
Sr (0.172, 0.828, 0.000)
Sr (0.328, 0.328, 0.500)
Sr (0.828, 0.172, 0.000)

Properties
As for the theoretical density: 6.30 g/cm3. The magnetic moment is 0.0 μB per formula unit.

Model 3:
Below is SrTa after structural relaxation, with properties calculated at the PBE level.

a = 4.597 Å, b = 4.597 Å, c = 12.516 Å
α = 90.00°, β = 90.00°, γ = 120.00°
Fractional positions:
Ta (0.000, 0.000, 0.500)
Ta (0.667, 0.333, 0.452)
Ta (0.333, 0.667, 0.548)
Sr (0.667, 0.333, 0.725)
Sr (0.000, 0.000, 0.000)
Sr (0.333, 0.667, 0.275)

Properties
As for the theoretical density: 5.84 g/cm3. The magnetic moment is 0.0 μB per formula unit.

Model 4:
Below is SrTa after structural relaxation, with properties calculated at the PBE level.

a = 6.171 Å, b = 15.964 Å, c = 9.867 Å
α = 90.00°, β = 90.00°, γ = 90.00°
Fractional positions:
Ta (0.500, 0.574, 0.000)
Ta (0.000, 0.426, 0.500)
Ta (0.750, 0.324, 0.250)
Ta (0.750, 0.176, 0.250)
Ta (0.250, 0.324, 0.750)
Ta (0.000, 0.074, 0.000)
Ta (0.250, 0.824, 0.250)
Ta (0.250, 0.176, 0.750)
Ta (0.750, 0.676, 0.750)
Ta (0.000, 0.926, 0.000)
Ta (0.500, 0.926, 0.500)
Ta (0.000, 0.574, 0.500)
Ta (0.750, 0.824, 0.750)
Ta (0.250, 0.676, 0.250)
Ta (0.500, 0.426, 0.000)
Ta (0.500, 0.074, 0.500)
Sr (0.500, 0.000, 0.167)
Sr (0.750, 0.750, 0.083)
Sr (0.000, 0.500, 0.167)
Sr (0.500, 0.500, 0.667)
Sr (0.500, 0.500, 0.333)
Sr (0.250, 0.750, 0.917)
Sr (0.750, 0.250, 0.583)
Sr (0.750, 0.250, 0.917)
Sr (0.000, 0.000, 0.333)
Sr (0.500, 0.000, 0.833)
Sr (0.250, 0.750, 0.583)
Sr (0.250, 0.250, 0.417)
Sr (0.000, 0.500, 0.833)
Sr (0.750, 0.750, 0.417)
Sr (0.000, 0.000, 0.667)
Sr (0.250, 0.250, 0.083)

Properties
As for the theoretical density: 7.34 g/cm3. The magnetic moment is 0.0 μB per formula unit.

model 3 has the most favorable energy; the next structure is 24.4 kJ/mol of atoms above.

Model 1:
Below is SrTa after structural relaxation, with properties calculated at the PBE level.

a = 9.660 Å, b = 9.660 Å, c = 3.682 Å
α = 90.00°, β = 90.00°, γ = 158.59°
Fractional positions:
Ta (0.777, 0.223, 0.750)
Ta (0.223, 0.777, 0.250)
Sr (0.401, 0.599, 0.250)
Sr (0.599, 0.401, 0.750)

Properties
As for the theoretical density: 7.11 g/cm3. The magnetic moment is 0.0 μB per formula unit.

Model 2:
Below is SrTa after structural relaxation, with properties calculated at the PBE level.

a = 6.044 Å, b = 6.044 Å, c = 6.044 Å
α = 90.00°, β = 90.00°, γ = 90.00°
Fractional positions:
Ta (0.111, 0.111, 0.111)
Ta (0.611, 0.389, 0.889)
Ta (0.389, 0.889, 0.611)
Ta (0.889, 0.611, 0.389)
Sr (0.595, 0.905, 0.095)
Sr (0.405, 0.405, 0.405)
Sr (0.095, 0.595, 0.905)
Sr (0.905, 0.095, 0.595)

Properties
As for the theoretical density: 8.08 g/cm3. The magnetic moment is 0.0 μB per formula unit.

model 1 has the most favorable energy; the next structure is 110.1 kJ/mol of atoms above.